Record 1
Entry from Alexandria via LeMat-Bulk: a relaxed CsTePC crystal (PBE).

The calculation puts the final energy at -4.5271 eV per atom.

a b c (Å): 13.4271 5.0832 5.1342
angles (deg): 90.00 91.15 90.00
Closest atoms and distances in Å follow each position.
Space group Cm (No. 8)
Symmetry-distinct sites (fractional):
Cs 0.0000 0.0000 0.0000 [2 per cell]  4 C 3.62, 4 Te 4.03, 4 P 4.04-4.05
Te 0.1330 0.5000 0.5059 [2 per cell]  1 C 2.01
P 0.3644 0.0000 0.4932 [2 per cell]  1 C 1.60
C 0.4835 0.0000 0.4992 [2 per cell]  1 P 1.60



Record 2
Entry from Alexandria via LeMat-Bulk: a relaxed CsPbC crystal (PBE).

For the formation energy, the calculation gives 0.331 eV per atom. The calculation puts the final energy at -4.2643 eV per atom.

a b c (Å): 4.9950 6.9728 7.7562
angles (deg): 109.55 96.17 110.29
Closest atoms and distances in Å follow each position.
Space group P1 (No. 1)
Symmetry-distinct sites (fractional):
Cs 0.0000 0.0000 0.0000 [1 per cell]  3 C 3.22-3.45
Cs 0.2762 0.3261 0.6381 [1 per cell]  4 C 3.37-3.70
Pb 0.4688 0.8342 0.3497 [1 per cell]  2 C 2.56-2.72
Pb 0.8064 0.5091 0.3040 [1 per cell]  1 C 2.33
C 0.1662 0.7549 0.5837 [1 per cell]  1 C 1.28
C 0.4082 0.8954 0.7065 [1 per cell]  1 C 1.28



Record 3
Entry from Alexandria via LeMat-Bulk: a relaxed CsPbC crystal (PBE).

For the formation energy, the calculation gives 0.266 eV per atom. The calculation puts the final energy at -4.3294 eV per atom.

a b c (Å): 6.9622 4.2305 7.3934
angles (deg): 90.00 99.89 90.00
Closest atoms and distances in Å follow each position.
Space group P2/m (No. 10)
Symmetry-distinct sites (fractional):
Cs 0.2102 0.0000 0.2967 [2 per cell]  4 C 3.25-3.30
Pb 0.3414 0.5000 0.8182 [2 per cell]  1 C 2.30
C 0.0765 0.5000 0.9654 [2 per cell]  1 C 1.26



Record 4
Entry from Alexandria via LeMat-Bulk: a relaxed CsPb3C crystal (PBE).

For the formation energy, the calculation gives 0.916 eV per atom. The calculation puts the final energy at -3.3245 eV per atom.

a b c (Å): 5.3942 5.3942 5.3942
angles (deg): 90.00 90.00 90.00
Closest atoms and distances in Å follow each position.
Space group Pm-3m (No. 221)
Symmetry-distinct sites (fractional):
Cs 0.0000 0.0000 0.0000 [1 per cell]  12 Pb 3.81
Pb 0.0000 0.5000 0.5000 [3 per cell]  2 C 2.70
C 0.5000 0.5000 0.5000 [1 per cell]  6 Pb 2.70